Density functional theory data (PBE+U) for a geometry-optimized Mg3Cr3O8 structure.

```
Mg3Cr3O8
1.0
5.1808 -0.0044 2.9675
1.7180 4.8877 2.9675
-0.0063 -0.0044 5.9705
Mg Cr O
3 3 8
Direct
0.3788 0.3788 0.3788
0.6212 0.6212 0.6212
0.0000 0.0000 0.0000
0.5000 0.0000 0.0000
0.0000 0.5000 0.0000
0.0000 0.0000 0.5000
0.7593 0.7593 0.7593
0.2153 0.7547 0.7547
0.7547 0.2153 0.7547
0.7547 0.7547 0.2153
0.2407 0.2407 0.2407
0.7847 0.2453 0.2453
0.2453 0.7847 0.2453
0.2453 0.2453 0.7847
```

Calculated values
The magnetic moment comes out at 8.0 μB/f.u. Its crystal system is trigonal. Its space-group type is R-3m (166). Its density is 3.92 Mg/m³. The total energy comes out at -0.2581 hartree per atom.